# 1
The following is a DFT calculation (PBE) of crystalline Ho5Te4Pt at its relaxed geometry.

Values from the calculation:
formation energy (no corrections) = -12.510 eV/f.u.
SG = I4/mmm (139)

a = 4.236 Å, b = 4.236 Å, c = 15.907 Å
α = 97.65°, β = 97.65°, γ = 90.00°
Positions (direct):
Ho1 0.914 0.914 0.828
Ho2 0.086 0.086 0.172
Ho3 0.290 0.290 0.579
Ho4 0.500 0.500 0.000
Ho5 0.710 0.710 0.421
Te1 0.191 0.191 0.382
Te2 0.607 0.607 0.214
Te3 0.393 0.393 0.786
Te4 0.809 0.809 0.618
Pt1 0.000 0.000 0.000


# 2
The following is a DFT calculation (PBE) of crystalline IBr8Cl5 at its relaxed geometry.

Values from the calculation:
formation energy (no corrections) = 0.069 eV/f.u.
SG = P1 (1)

a = 11.683 Å, b = 10.593 Å, c = 10.551 Å
α = 146.90°, β = 96.80°, γ = 92.81°
Positions (direct):
Br1 0.819 0.046 0.393
Br2 0.862 0.287 0.160
Br3 0.384 0.858 0.622
Br4 0.640 0.270 0.495
Br5 0.392 0.616 0.183
Br6 0.715 0.551 0.212
Br7 0.154 0.910 0.170
Br8 0.083 0.515 0.666
Cl1 0.374 0.039 0.957
Cl2 0.801 0.966 0.760
Cl3 0.205 0.242 0.580
Cl4 0.968 0.694 0.686
Cl5 0.493 0.444 0.583
I1 0.610 0.811 0.282


# 3
The following is a DFT calculation (PBE) of crystalline CaSm2Ru at its relaxed geometry.

Values from the calculation:
SG = R-3m (166)
energy above the lowest structure with this stoichiometry = 0.80 eV per formula unit
energy of formation = 51.5 meV/atom

a = 3.913 Å, b = 3.913 Å, c = 10.893 Å
α = 79.65°, β = 79.65°, γ = 60.00°
Positions (direct):
Ru1 0.500 0.500 0.500
Ca1 0.000 0.000 0.000
Sm1 0.117 0.117 0.650
Sm2 0.883 0.883 0.350


# 4
The following is a DFT calculation (PBE) of crystalline NaGeBr2 at its relaxed geometry.

Values from the calculation:
formation energy (no corrections) = -1.590 eV/f.u.
SG = R-3m (166)
energy above the lowest structure with this stoichiometry = 0.49 eV per formula unit

a = 9.069 Å, b = 9.069 Å, c = 9.069 Å
α = 27.93°, β = 27.93°, γ = 27.93°
Positions (direct):
Br1 0.890 0.890 0.890
Br2 0.110 0.110 0.110
Ge1 0.500 0.500 0.500
Na1 0.000 0.000 0.000


# 5
The following is a DFT calculation (PBE) of crystalline MnV6W at its relaxed geometry.

Values from the calculation:
SG = Pm-3 (200)
energy of formation = -6.0 meV/atom

a = 6.754 Å, b = 6.755 Å, c = 4.775 Å
α = 45.03°, β = 45.00°, γ = 60.05°
Positions (direct):
V1 0.000 0.500 0.743
V2 0.757 0.000 0.743
V3 0.500 0.757 0.743
V4 0.000 0.500 0.257
V5 0.500 0.243 0.257
V6 0.243 0.000 0.257
Mn1 0.000 0.000 0.000
W1 0.500 0.500 0.500


# 6
The following is a DFT calculation (PBE) of crystalline CaCdTc2 at its relaxed geometry.

Values from the calculation:
SG = C2/m (12)
energy of formation = 578.5 meV/atom

a = 5.469 Å, b = 5.667 Å, c = 2.743 Å
α = 80.81°, β = 80.19°, γ = 116.18°
Positions (direct):
Tc1 0.000 0.000 0.000
Tc2 0.500 0.000 0.500
Ca1 0.000 0.500 0.500
Cd1 0.500 0.500 0.000


# 7
The following is a DFT calculation (PBE) of crystalline KSbS3 at its relaxed geometry.

Values from the calculation:
formation energy (no corrections) = -2.217 eV/f.u.
SG = Pnma (62)
energy above the lowest structure with this stoichiometry = 0.42 eV per formula unit

a = 3.797 Å, b = 8.881 Å, c = 15.495 Å
α = 90.00°, β = 90.00°, γ = 90.00°
Positions (direct):
K1 0.750 0.549 0.821
K2 0.750 0.049 0.679
K3 0.250 0.451 0.179
K4 0.250 0.951 0.321
S1 0.250 0.167 0.501
S2 0.250 0.035 0.092
S3 0.250 0.256 0.798
S4 0.250 0.535 0.408
S5 0.250 0.756 0.702
S6 0.750 0.244 0.298
S7 0.750 0.833 0.499
S8 0.750 0.465 0.592
S9 0.750 0.965 0.908
S10 0.750 0.744 0.202
S11 0.750 0.333 0.001
S12 0.250 0.667 0.999
Sb1 0.250 0.168 0.942
Sb2 0.750 0.832 0.058
Sb3 0.250 0.668 0.558
Sb4 0.750 0.332 0.442


# 8
The following is a DFT calculation (PBE) of crystalline KCu4W at its relaxed geometry.

Values from the calculation:
SG = F-43m (216)
energy of formation = 899.0 meV/atom

a = 5.116 Å, b = 5.116 Å, c = 5.116 Å
α = 60.00°, β = 60.00°, γ = 60.00°
Positions (direct):
W1 0.000 0.000 0.000
Cu1 0.374 0.374 0.374
Cu2 0.879 0.374 0.374
Cu3 0.374 0.374 0.879
Cu4 0.374 0.879 0.374
K1 0.750 0.750 0.750


# 9
The following is a DFT calculation (PBE) of crystalline TlMoN2 at its relaxed geometry.

Values from the calculation:
formation energy (no corrections) = 4.403 eV/f.u.
SG = R-3m (166)
energy above the lowest structure with this stoichiometry = 4.55 eV per formula unit

a = 6.802 Å, b = 6.802 Å, c = 6.802 Å
α = 28.35°, β = 28.35°, γ = 28.35°
Positions (direct):
Mo1 0.000 0.000 0.000
N1 0.903 0.903 0.903
N2 0.097 0.097 0.097
Tl1 0.500 0.500 0.500


# 10
The following is a DFT calculation (PBE) of crystalline CaSiAu2 at its relaxed geometry.

Values from the calculation:
formation energy (no corrections) = -1.090 eV/f.u.
SG = P4/mmm (123)

a = 3.417 Å, b = 3.416 Å, c = 6.912 Å
α = 90.00°, β = 90.00°, γ = 90.00°
Positions (direct):
Si1 0.500 0.500 0.750
Au1 0.000 0.000 0.963
Au2 0.000 0.000 0.537
Ca1 0.500 0.500 0.250


# 11
The following is a DFT calculation (PBE) of crystalline Er2Tm2Th at its relaxed geometry.

Values from the calculation:
SG = Imma (74)
energy above the lowest structure with this stoichiometry = 0.00 eV per formula unit
energy of formation = 216.1 meV/atom

a = 9.892 Å, b = 5.669 Å, c = 8.177 Å
α = 69.73°, β = 127.22°, γ = 90.00°
Positions (direct):
Th1 0.104 0.250 0.000
Th2 0.896 0.750 0.000
Tm1 0.050 0.886 0.727
Tm2 0.677 0.386 0.727
Tm3 0.950 0.114 0.273
Tm4 0.323 0.614 0.273
Er1 0.221 0.428 0.643
Er2 0.422 0.928 0.643
Er3 0.578 0.072 0.357
Er4 0.779 0.572 0.357


# 12
The following is a DFT calculation (PBE) of crystalline MgIrRh2 at its relaxed geometry.

Values from the calculation:
SG = R3m (160)
energy of formation = -59.6 meV/atom

a = 8.989 Å, b = 8.989 Å, c = 8.989 Å
α = 17.81°, β = 17.81°, γ = 17.81°
Positions (direct):
Ir1 0.501 0.501 0.501
Rh1 0.250 0.250 0.250
Rh2 0.999 0.999 0.999
Mg1 0.749 0.749 0.749


# 13
The following is a DFT calculation (PBE) of crystalline Zn2RePt at its relaxed geometry.

Values from the calculation:
SG = Pmm2 (25)
energy above the lowest structure with this stoichiometry = 0.37 eV per formula unit
energy of formation = 19.6 meV/atom

a = 2.732 Å, b = 3.900 Å, c = 5.516 Å
α = 90.00°, β = 90.00°, γ = 90.00°
Positions (direct):
Zn1 0.500 0.500 0.246
Zn2 0.000 0.000 0.002
Pt1 0.000 0.000 0.501
Re1 0.500 0.500 0.751


# 14
The following is a DFT calculation (PBE) of crystalline Pr2Sm6Ho at its relaxed geometry.

Values from the calculation:
SG = Cmmm (65)
energy above the lowest structure with this stoichiometry = 0.00 eV per formula unit
energy of formation = 45.7 meV/atom

a = 3.557 Å, b = 9.920 Å, c = 10.565 Å
α = 118.00°, β = 70.33°, γ = 90.00°
Positions (direct):
Sm1 0.830 0.001 0.670
Sm2 0.830 0.669 0.670
Sm3 0.170 0.999 0.330
Sm4 0.500 0.669 0.000
Sm5 0.170 0.331 0.330
Sm6 0.500 0.331 0.000
Pr1 0.334 0.333 0.666
Pr2 0.666 0.667 0.334
Ho1 0.000 0.000 0.000


# 15
The following is a DFT calculation (PBE) of crystalline CsBBr4 at its relaxed geometry.

Values from the calculation:
formation energy (no corrections) = -4.149 eV/f.u.
SG = Cmcm (63)
energy above the lowest structure with this stoichiometry = 1.65 eV per formula unit

a = 3.757 Å, b = 8.922 Å, c = 13.694 Å
α = 90.00°, β = 97.89°, γ = 90.00°
Positions (direct):
Br1 0.000 0.500 0.000
Br2 0.183 0.938 0.367
Br3 0.402 0.250 0.805
Br4 0.598 0.750 0.195
Br5 0.817 0.062 0.633
Br6 0.817 0.438 0.633
Br7 0.183 0.562 0.367
Br8 0.000 0.000 0.000
Cs1 0.566 0.250 0.132
Cs2 0.434 0.750 0.868
B1 0.147 0.750 0.294
B2 0.853 0.250 0.706


# 16
The following is a DFT calculation (PBE) of crystalline Y2Zr at its relaxed geometry.

Values from the calculation:
SG = I4/mmm (139)
energy above the lowest structure with this stoichiometry = 0.38 eV per formula unit
energy of formation = 213.8 meV/atom

a = 4.012 Å, b = 6.057 Å, c = 4.012 Å
α = 70.66°, β = 90.00°, γ = 109.34°
Positions (direct):
Y1 0.343 0.686 0.657
Y2 0.657 0.314 0.343
Zr1 0.000 0.000 0.000


# 17
The following is a DFT calculation (PBE) of crystalline Fe4TcIr15 at its relaxed geometry.

Values from the calculation:
SG = P4/mmm (123)
energy of formation = -63.2 meV/atom

a = 3.842 Å, b = 3.842 Å, c = 19.160 Å
α = 90.00°, β = 90.00°, γ = 90.00°
Positions (direct):
Ir1 0.000 0.500 0.699
Ir2 0.500 0.500 0.400
Ir3 0.500 0.500 0.000
Ir4 0.500 0.000 0.301
Ir5 0.500 0.500 0.799
Ir6 0.000 0.500 0.100
Ir7 0.500 0.000 0.500
Ir8 0.000 0.500 0.500
Ir9 0.000 0.500 0.301
Ir10 0.000 0.500 0.900
Ir11 0.500 0.000 0.699
Ir12 0.500 0.000 0.900
Ir13 0.500 0.500 0.600
Ir14 0.500 0.000 0.100
Ir15 0.500 0.500 0.201
Fe1 0.000 0.000 0.400
Fe2 0.000 0.000 0.203
Fe3 0.000 0.000 0.797
Fe4 0.000 0.000 0.600
Tc1 0.000 0.000 0.000


# 18
The following is a DFT calculation (PBE) of crystalline S6O2F at its relaxed geometry.

Values from the calculation:
formation energy (no corrections) = -1.937 eV/f.u.
SG = C2/c (15)

a = 12.864 Å, b = 6.360 Å, c = 12.864 Å
α = 48.67°, β = 83.51°, γ = 48.67°
Positions (direct):
S1 0.069 0.792 0.391
S2 0.685 0.356 0.352
S3 0.391 0.292 0.069
S4 0.352 0.856 0.685
S5 0.931 0.208 0.609
S6 0.844 0.230 0.034
S7 0.609 0.708 0.931
S8 0.156 0.770 0.966
S9 0.966 0.270 0.156
S10 0.648 0.144 0.315
S11 0.315 0.644 0.648
S12 0.034 0.730 0.844
F1 0.920 0.750 0.080
F2 0.080 0.250 0.920
O1 0.500 0.801 0.289
O2 0.711 0.699 0.500
O3 0.289 0.301 0.500
O4 0.500 0.199 0.711


# 19
The following is a DFT calculation (PBE) of crystalline RbMg5 at its relaxed geometry.

Values from the calculation:
SG = Cmmm (65)
energy above the lowest structure with this stoichiometry = 0.64 eV per formula unit
energy of formation = 237.3 meV/atom

a = 6.285 Å, b = 6.285 Å, c = 5.509 Å
α = 90.00°, β = 90.00°, γ = 126.25°
Positions (direct):
Rb1 0.500 0.500 0.000
Mg1 0.705 0.295 0.500
Mg2 0.000 0.000 0.500
Mg3 0.169 0.831 0.000
Mg4 0.831 0.169 0.000
Mg5 0.295 0.705 0.500